[1]
{"formula": "TiSn2HBr", "functional": "PBE-GGA", "state": "optimized geometry", "lattice_angstrom": [[5.655, 0.000, 0.000], [0.000, 5.655, 0.000], [0.000, 0.000, 3.518]], "species": ["Ti", "Sn", "Sn", "H", "Br"], "fractional_positions": [[0.000, 0.000, 0.000], [0.000, 0.500, 0.000], [0.500, 0.000, 0.000], [0.000, 0.000, 0.500], [0.500, 0.500, 0.500]], "n_ef_per_ev_atom": 0.506, "e_tot_ev_per_cell": -20.592}



[2]
{"formula": "TlSnH2Br8", "functional": "PBE-GGA", "state": "optimized geometry", "lattice_angstrom": [[7.549, 0.000, 0.000], [1.666, 7.388, 0.000], [2.324, -0.134, 7.917]], "species": ["Tl", "Sn", "H", "H", "Br", "Br", "Br", "Br", "Br", "Br", "Br", "Br"], "fractional_positions": [[0.000, 0.000, 0.000], [0.000, 0.000, 0.500], [0.253, 0.642, 0.728], [0.747, 0.358, 0.272], [0.205, 0.129, 0.664], [0.227, 0.680, 0.475], [0.229, 0.097, 0.215], [0.272, 0.615, 0.903], [0.728, 0.385, 0.097], [0.771, 0.903, 0.785], [0.773, 0.320, 0.525], [0.795, 0.871, 0.336]], "n_ef_per_ev_atom": 0.302, "e_tot_ev_per_cell": -31.970}



[3]
{"formula": "Tl2SnHBr5", "functional": "PBE-GGA", "state": "optimized geometry", "lattice_angstrom": [[2.483, -9.424, 0.000], [2.483, 9.424, 0.000], [0.000, 0.000, 13.852]], "species": ["Tl", "Tl", "Tl", "Tl", "Sn", "Sn", "H", "H", "Br", "Br", "Br", "Br", "Br", "Br", "Br", "Br", "Br", "Br"], "fractional_positions": [[0.122, 0.878, 0.500], [0.130, 0.870, 0.942], [0.870, 0.130, 0.442], [0.878, 0.122, 0.000], [0.410, 0.590, 0.711], [0.590, 0.410, 0.211], [0.276, 0.724, 0.276], [0.724, 0.276, 0.776], [0.026, 0.974, 0.288], [0.297, 0.703, 0.573], [0.301, 0.699, 0.872], [0.349, 0.651, 0.244], [0.498, 0.502, 0.538], [0.502, 0.498, 0.038], [0.651, 0.349, 0.744], [0.699, 0.301, 0.372], [0.703, 0.297, 0.073], [0.974, 0.026, 0.788]], "n_ef_per_ev_atom": 0.000, "e_tot_ev_per_cell": -52.823}